# PBE-GGA Tb2Se2O, relaxed
data_Tb2Se2O
_chemical_formula_sum 'Tb4 Se4 O2'
_cell_length_a 7.1223
_cell_length_b 7.1223
_cell_length_c 7.1223
_cell_angle_alpha 122.63
_cell_angle_beta 77.75
_cell_angle_gamma 132.30
_space_group_name_H-M_alt 'P 1'
_space_group_IT_number 1
loop_
_space_group_symop_operation_xyz
'x,y,z'
loop_
_atom_site_label
_atom_site_type_symbol
_atom_site_fract_x
_atom_site_fract_y
_atom_site_fract_z
Tb1 Tb 0.0996 0.2052 0.3048
Tb2 Tb 0.4004 0.7052 0.1055
Tb3 Tb 0.5996 0.2948 0.8945
Tb4 Tb 0.9004 0.7948 0.6952
Se1 Se 0.1444 0.6424 0.7868
Se2 Se 0.3556 0.1424 0.4980
Se3 Se 0.6444 0.8576 0.5020
Se4 Se 0.8556 0.3576 0.2132
O1 O 0.2500 0.2500 0.0000
O2 O 0.7500 0.7500 0.0000
# energy above the lowest structure with this stoichiometry = 0 meV per atom
# formation energy from raw total energies = -2.4524 eV per atom
# E_tot = -66.90 eV per cell

=====

# PBE-GGA Tb3SeO7, relaxed
data_Tb3SeO7
_chemical_formula_sum 'Tb6 Se2 O14'
_cell_length_a 6.4680
_cell_length_b 6.4680
_cell_length_c 7.4714
_cell_angle_alpha 90.00
_cell_angle_beta 90.00
_cell_angle_gamma 108.40
_space_group_name_H-M_alt 'P 1'
_space_group_IT_number 1
loop_
_space_group_symop_operation_xyz
'x,y,z'
loop_
_atom_site_label
_atom_site_type_symbol
_atom_site_fract_x
_atom_site_fract_y
_atom_site_fract_z
Tb1 Tb 0.0332 0.4982 0.2557
Tb2 Tb 0.0383 0.0383 0.0000
Tb3 Tb 0.4982 0.0332 0.7443
Tb4 Tb 0.5018 0.9668 0.2443
Tb5 Tb 0.9617 0.9617 0.5000
Tb6 Tb 0.9668 0.5018 0.7557
Se1 Se 0.4929 0.4929 0.5000
Se2 Se 0.5071 0.5071 0.0000
O1 O 0.1301 0.8699 0.7500
O2 O 0.1387 0.8613 0.2500
O3 O 0.1712 0.4223 0.9788
O4 O 0.2005 0.4476 0.5326
O5 O 0.4223 0.1712 0.0212
O6 O 0.4422 0.5578 0.2500
O7 O 0.4476 0.2005 0.4674
O8 O 0.5524 0.7995 0.9674
O9 O 0.5578 0.4422 0.7500
O10 O 0.5777 0.8288 0.5212
O11 O 0.7995 0.5524 0.0326
O12 O 0.8288 0.5777 0.4788
O13 O 0.8613 0.1387 0.7500
O14 O 0.8699 0.1301 0.2500
# formation energy from raw total energies = -2.6188 eV per atom
# E_tot = -161.78 eV per cell

=====

# PBE-GGA TbSeO4, relaxed
data_TbSeO4
_chemical_formula_sum 'Tb2 Se2 O8'
_cell_length_a 5.9088
_cell_length_b 5.9088
_cell_length_c 6.5894
_cell_angle_alpha 115.10
_cell_angle_beta 115.10
_cell_angle_gamma 75.96
_space_group_name_H-M_alt 'P 1'
_space_group_IT_number 1
loop_
_space_group_symop_operation_xyz
'x,y,z'
loop_
_atom_site_label
_atom_site_type_symbol
_atom_site_fract_x
_atom_site_fract_y
_atom_site_fract_z
Tb1 Tb 0.0000 0.0000 0.0000
Tb2 Tb 0.5106 0.5106 0.7214
Se1 Se 0.0307 0.0307 0.5250
Se2 Se 0.5597 0.5597 0.2491
O1 O 0.1970 0.1970 0.4913
O2 O 0.2022 0.8549 0.6914
O3 O 0.3319 0.6838 0.0370
O4 O 0.3942 0.3942 0.2956
O5 O 0.6838 0.3319 0.0370
O6 O 0.7446 0.7446 0.7548
O7 O 0.8549 0.2022 0.6914
O8 O 0.8684 0.8684 0.2395
# formation energy from raw total energies = -1.9150 eV per atom
# E_tot = -78.87 eV per cell

=====

# PBE-GGA TbSeO, relaxed
data_TbSeO
_chemical_formula_sum 'Tb2 Se2 O2'
_cell_length_a 3.8404
_cell_length_b 3.8404
_cell_length_c 8.6439
_cell_angle_alpha 92.56
_cell_angle_beta 92.56
_cell_angle_gamma 66.09
_space_group_name_H-M_alt 'P 1'
_space_group_IT_number 1
loop_
_space_group_symop_operation_xyz
'x,y,z'
loop_
_atom_site_label
_atom_site_type_symbol
_atom_site_fract_x
_atom_site_fract_y
_atom_site_fract_z
Tb1 Tb 0.1859 0.1859 0.1636
Tb2 Tb 0.8141 0.8141 0.8364
Se1 Se 0.4159 0.4159 0.6184
Se2 Se 0.5841 0.5841 0.3816
O1 O 0.1717 0.1717 0.8994
O2 O 0.8283 0.8283 0.1006
# formation energy from raw total energies = -2.4107 eV per atom
# E_tot = -40.61 eV per cell

=====

# PBE-GGA Tb2Se2O7, relaxed
data_Tb2Se2O7
_chemical_formula_sum 'Tb8 Se8 O28'
_cell_length_a 10.7137
_cell_length_b 10.7137
_cell_length_c 5.2792
_cell_angle_alpha 90.00
_cell_angle_beta 90.00
_cell_angle_gamma 90.00
_space_group_name_H-M_alt 'P 1'
_space_group_IT_number 1
loop_
_space_group_symop_operation_xyz
'x,y,z'
loop_
_atom_site_label
_atom_site_type_symbol
_atom_site_fract_x
_atom_site_fract_y
_atom_site_fract_z
Tb1 Tb 0.1280 0.6280 0.0000
Tb2 Tb 0.1280 0.8720 0.5000
Tb3 Tb 0.3720 0.6280 0.5000
Tb4 Tb 0.3720 0.8720 0.0000
Tb5 Tb 0.6280 0.1280 0.0000
Tb6 Tb 0.6280 0.3720 0.5000
Tb7 Tb 0.8720 0.1280 0.5000
Tb8 Tb 0.8720 0.3720 0.0000
Se1 Se 0.1276 0.1276 0.0348
Se2 Se 0.1276 0.3724 0.5348
Se3 Se 0.3724 0.1276 0.5348
Se4 Se 0.3724 0.3724 0.0348
Se5 Se 0.6276 0.6276 0.9652
Se6 Se 0.6276 0.8724 0.4652
Se7 Se 0.8724 0.6276 0.4652
Se8 Se 0.8724 0.8724 0.9652
O1 O 0.0026 0.6806 0.6299
O2 O 0.0026 0.8194 0.1299
O3 O 0.0636 0.0636 0.3077
O4 O 0.0636 0.4364 0.8077
O5 O 0.1806 0.5026 0.3701
O6 O 0.1806 0.9974 0.8701
O7 O 0.2500 0.7500 0.2500
O8 O 0.2500 0.7500 0.7500
O9 O 0.3194 0.5026 0.8701
O10 O 0.3194 0.9974 0.3701
O11 O 0.4364 0.0636 0.8077
O12 O 0.4364 0.4364 0.3077
O13 O 0.4974 0.6806 0.1299
O14 O 0.4974 0.8194 0.6299
O15 O 0.5026 0.1806 0.3701
O16 O 0.5026 0.3194 0.8701
O17 O 0.5636 0.5636 0.6923
O18 O 0.5636 0.9364 0.1923
O19 O 0.6806 0.0026 0.6299
O20 O 0.6806 0.4974 0.1299
O21 O 0.7500 0.2500 0.2500
O22 O 0.7500 0.2500 0.7500
O23 O 0.8194 0.0026 0.1299
O24 O 0.8194 0.4974 0.6299
O25 O 0.9364 0.5636 0.1923
O26 O 0.9364 0.9364 0.6923
O27 O 0.9974 0.1806 0.8701
O28 O 0.9974 0.3194 0.3701
# formation energy from raw total energies = -2.1488 eV per atom
# E_tot = -298.30 eV per cell

=====

# PBE-GGA Tb3Se3O2, relaxed
data_Tb3Se3O2
_chemical_formula_sum 'Tb6 Se6 O4'
_cell_length_a 6.7355
_cell_length_b 6.7355
_cell_length_c 13.1390
_cell_angle_alpha 90.00
_cell_angle_beta 90.00
_cell_angle_gamma 146.59
_space_group_name_H-M_alt 'P 1'
_space_group_IT_number 1
loop_
_space_group_symop_operation_xyz
'x,y,z'
loop_
_atom_site_label
_atom_site_type_symbol
_atom_site_fract_x
_atom_site_fract_y
_atom_site_fract_z
Tb1 Tb 0.1457 0.8543 0.5408
Tb2 Tb 0.1457 0.8543 0.9592
Tb3 Tb 0.1953 0.8047 0.2500
Tb4 Tb 0.8047 0.1953 0.7500
Tb5 Tb 0.8543 0.1457 0.0408
Tb6 Tb 0.8543 0.1457 0.4592
Se1 Se 0.1517 0.8483 0.7500
Se2 Se 0.4578 0.5422 0.6147
Se3 Se 0.4578 0.5422 0.8853
Se4 Se 0.5422 0.4578 0.1147
Se5 Se 0.5422 0.4578 0.3853
Se6 Se 0.8483 0.1517 0.2500
O1 O 0.2643 0.7357 0.0802
O2 O 0.2643 0.7357 0.4198
O3 O 0.7357 0.2643 0.5802
O4 O 0.7357 0.2643 0.9198
# formation energy from raw total energies = -2.3757 eV per atom
# E_tot = -106.53 eV per cell

=====

# PBE-GGA Tb3Se2O2, relaxed
data_Tb3Se2O2
_chemical_formula_sum 'Tb6 Se4 O4'
_cell_length_a 7.7697
_cell_length_b 7.7697
_cell_length_c 11.3432
_cell_angle_alpha 120.25
_cell_angle_beta 120.25
_cell_angle_gamma 28.60
_space_group_name_H-M_alt 'P 1'
_space_group_IT_number 1
loop_
_space_group_symop_operation_xyz
'x,y,z'
loop_
_atom_site_label
_atom_site_type_symbol
_atom_site_fract_x
_atom_site_fract_y
_atom_site_fract_z
Tb1 Tb 0.0924 0.0924 0.1686
Tb2 Tb 0.1308 0.1308 0.7784
Tb3 Tb 0.4028 0.4028 0.5435
Tb4 Tb 0.5972 0.5972 0.4565
Tb5 Tb 0.8692 0.8692 0.2216
Tb6 Tb 0.9076 0.9076 0.8314
Se1 Se 0.2574 0.2574 0.6508
Se2 Se 0.3944 0.3944 0.0315
Se3 Se 0.6056 0.6056 0.9685
Se4 Se 0.7426 0.7426 0.3492
O1 O 0.0444 0.0444 0.3261
O2 O 0.4218 0.4218 0.3559
O3 O 0.5782 0.5782 0.6441
O4 O 0.9556 0.9556 0.6739
# energy above the lowest structure with this stoichiometry = 0 meV per atom
# formation energy from raw total energies = -2.6358 eV per atom
# E_tot = -98.45 eV per cell

=====

# PBE-GGA TbThSe2O, relaxed
data_TbThSe2O
_chemical_formula_sum 'Tb2 Th2 Se4 O2'
_cell_length_a 4.0965
_cell_length_b 4.0965
_cell_length_c 14.1835
_cell_angle_alpha 90.00
_cell_angle_beta 90.00
_cell_angle_gamma 90.00
_space_group_name_H-M_alt 'P 1'
_space_group_IT_number 1
loop_
_space_group_symop_operation_xyz
'x,y,z'
loop_
_atom_site_label
_atom_site_type_symbol
_atom_site_fract_x
_atom_site_fract_y
_atom_site_fract_z
Tb1 Tb 0.2500 0.2500 0.0739
Tb2 Tb 0.7500 0.7500 0.9261
Th1 Th 0.2500 0.2500 0.6130
Th2 Th 0.7500 0.7500 0.3870
Se1 Se 0.2500 0.2500 0.3888
Se2 Se 0.2500 0.2500 0.8086
Se3 Se 0.7500 0.7500 0.1914
Se4 Se 0.7500 0.7500 0.6112
O1 O 0.2500 0.7500 0.0000
O2 O 0.7500 0.2500 0.0000
# formation energy from raw total energies = -2.2943 eV per atom
# E_tot = -70.90 eV per cell

=====

# PBE-GGA TbTl2SeO6, relaxed
data_TbTl2SeO6
_chemical_formula_sum 'Tb1 Tl2 Se1 O6'
_cell_length_a 6.0681
_cell_length_b 6.0681
_cell_length_c 5.8022
_cell_angle_alpha 90.00
_cell_angle_beta 90.00
_cell_angle_gamma 120.00
_space_group_name_H-M_alt 'P 1'
_space_group_IT_number 1
loop_
_space_group_symop_operation_xyz
'x,y,z'
loop_
_atom_site_label
_atom_site_type_symbol
_atom_site_fract_x
_atom_site_fract_y
_atom_site_fract_z
Tb1 Tb 0.0000 0.0000 0.0000
Tl1 Tl 0.3333 0.6667 0.4183
Tl2 Tl 0.6667 0.3333 0.5817
Se1 Se 0.0000 0.0000 0.5000
O1 O 0.1404 0.2808 0.6913
O2 O 0.1404 0.8596 0.6913
O3 O 0.2808 0.1404 0.3087
O4 O 0.7192 0.8596 0.6913
O5 O 0.8596 0.1404 0.3087
O6 O 0.8596 0.7192 0.3087
# formation energy from raw total energies = -1.1761 eV per atom
# E_tot = -54.36 eV per cell

=====

# PBE-GGA TbTl2Se2O6, relaxed
data_TbTl2Se2O6
_chemical_formula_sum 'Tb1 Tl2 Se2 O6'
_cell_length_a 5.6763
_cell_length_b 5.6763
_cell_length_c 7.5519
_cell_angle_alpha 102.69
_cell_angle_beta 102.69
_cell_angle_gamma 63.05
_space_group_name_H-M_alt 'P 1'
_space_group_IT_number 1
loop_
_space_group_symop_operation_xyz
'x,y,z'
loop_
_atom_site_label
_atom_site_type_symbol
_atom_site_fract_x
_atom_site_fract_y
_atom_site_fract_z
Tb1 Tb 0.0000 0.0000 0.0000
Tl1 Tl 0.2284 0.2284 0.6022
Tl2 Tl 0.7716 0.7716 0.3978
Se1 Se 0.3919 0.3919 0.2559
Se2 Se 0.6081 0.6081 0.7441
O1 O 0.2428 0.2428 0.0758
O2 O 0.2700 0.7200 0.2140
O3 O 0.2800 0.7300 0.7860
O4 O 0.7200 0.2700 0.2140
O5 O 0.7300 0.2800 0.7860
O6 O 0.7572 0.7572 0.9242
# formation energy from raw total energies = -1.3263 eV per atom
# E_tot = -60.67 eV per cell

=====

# PBE-GGA TbTmSeO2, relaxed
data_TbTmSeO2
_chemical_formula_sum 'Tb2 Tm2 Se2 O4'
_cell_length_a 6.4549
_cell_length_b 3.9965
_cell_length_c 7.5490
_cell_angle_alpha 90.00
_cell_angle_beta 107.52
_cell_angle_gamma 90.00
_space_group_name_H-M_alt 'P 1'
_space_group_IT_number 1
loop_
_space_group_symop_operation_xyz
'x,y,z'
loop_
_atom_site_label
_atom_site_type_symbol
_atom_site_fract_x
_atom_site_fract_y
_atom_site_fract_z
Tb1 Tb 0.1836 0.2500 0.4258
Tb2 Tb 0.8164 0.7500 0.5742
Tm1 Tm 0.1731 0.2500 0.9173
Tm2 Tm 0.8269 0.7500 0.0827
Se1 Se 0.4548 0.7500 0.7432
Se2 Se 0.5452 0.2500 0.2568
O1 O 0.0143 0.7500 0.8837
O2 O 0.0191 0.7500 0.3747
O3 O 0.9809 0.2500 0.6253
O4 O 0.9857 0.2500 0.1163
# formation energy from raw total energies = -3.1316 eV per atom
# E_tot = -76.32 eV per cell

=====

# PBE-GGA TbTmSe2O, relaxed
data_TbTmSe2O
_chemical_formula_sum 'Tb2 Tm2 Se4 O2'
_cell_length_a 3.9527
_cell_length_b 3.9527
_cell_length_c 14.4228
_cell_angle_alpha 90.00
_cell_angle_beta 90.00
_cell_angle_gamma 90.00
_space_group_name_H-M_alt 'P 1'
_space_group_IT_number 1
loop_
_space_group_symop_operation_xyz
'x,y,z'
loop_
_atom_site_label
_atom_site_type_symbol
_atom_site_fract_x
_atom_site_fract_y
_atom_site_fract_z
Tb1 Tb 0.2500 0.2500 0.0775
Tb2 Tb 0.7500 0.7500 0.9225
Tm1 Tm 0.2500 0.2500 0.6265
Tm2 Tm 0.7500 0.7500 0.3735
Se1 Se 0.2500 0.2500 0.4121
Se2 Se 0.2500 0.2500 0.8065
Se3 Se 0.7500 0.7500 0.1935
Se4 Se 0.7500 0.7500 0.5879
O1 O 0.2500 0.7500 0.0000
O2 O 0.7500 0.2500 0.0000
# formation energy from raw total energies = -2.4096 eV per atom
# E_tot = -66.15 eV per cell